## MnMoWO6 (GGA+U)

Data for a relaxed structure of MnMoWO6.

Properties
* E_tot: -7.55 eV/atom
* magnetization: 14.00 μB per cell

```
MnMoWO6
1.0
-2.754 -3.795 -1.286
3.856 -2.085 -2.105
2.098 -4.253 8.055
Mo O W Mn
2 12 2 2
Cartesian
2.089 -4.235 8.021
1.591 -5.048 2.297
2.396 -5.969 6.877
0.416 -7.026 5.345
1.761 -4.724 4.352
3.006 -3.136 -0.558
2.166 -6.883 3.106
1.507 -5.649 0.364
3.576 -4.469 1.938
-0.452 -5.511 2.437
1.041 -3.162 1.798
-1.177 -4.218 -0.040
2.826 -8.265 5.553
4.230 -6.039 4.873
2.304 -6.495 5.037
0.705 -1.428 2.705
1.402 -2.842 5.383
0.904 -3.655 -0.341
```